Record 1
Density functional theory data (GGA-PBE) for an optimized crystal structure of LiGaSn.

Output
The spin magnetization comes out at 0.00 μB/cell. As for the total energy: -8.89 eV/f.u. The value obtained for the density is 4413 kg/m³.

Cell: 10.9658 10.9658 8.1304 Å, 47.60 47.60 90.00°
Closest atoms and distances in Å follow each position.
Sites, in units of the cell vectors:
Sn: 0.3554 0.0000 0.0000  2 Ga 2.88, 2 Li 2.93, 1 Sn 3.17
Sn: 0.6446 0.0000 0.0000  2 Ga 2.88, 2 Li 2.93, 1 Sn 3.17
Sn: 0.0000 0.3554 0.0000  2 Ga 2.88, 2 Li 2.93, 1 Sn 3.17
Sn: 0.0000 0.6446 0.0000  2 Ga 2.88, 2 Li 2.93, 1 Sn 3.17
Ga: 0.8771 0.8771 0.0000  2 Ga 2.69, 2 Sn 2.88, 4 Li 2.94
Ga: 0.1229 0.1229 0.0000  2 Ga 2.69, 2 Sn 2.88, 4 Li 2.94
Ga: 0.1229 0.8771 0.0000  2 Ga 2.69, 2 Sn 2.88, 4 Li 2.94
Ga: 0.8771 0.1229 0.0000  2 Ga 2.69, 2 Sn 2.88, 4 Li 2.94
Li: 0.7077 0.5000 0.0000  2 Sn 2.93, 4 Ga 2.94, 2 Li 3.22
Li: 0.2923 0.5000 0.0000  2 Sn 2.93, 4 Ga 2.94, 2 Li 3.22
Li: 0.5000 0.7077 0.0000  2 Sn 2.93, 4 Ga 2.94, 2 Li 3.22
Li: 0.5000 0.2923 0.0000  2 Sn 2.93, 4 Ga 2.94, 2 Li 3.22

Record 2
Density functional theory data (GGA-PBE) for an optimized crystal structure of K3Te5.

Output
The spin magnetization comes out at 0.00 μB/cell. Its energy relative to the lowest polymorph listed for this composition is 0.00 kcal/mol of atoms. For the raw formation energy, the calculation gives -57.9 kJ per mole of atoms. The value obtained for the density is 3861 kg/m³.

Cell: 6.9623 9.6078 10.9853 Å, 83.41 71.52 68.76°
Closest atoms and distances in Å follow each position.
Sites, in units of the cell vectors:
K: 0.9407 0.3769 0.6816  9 Te 3.60-3.96
K: 0.6823 0.3769 0.3184  9 Te 3.60-3.96
K: 0.8723 0.8769 0.8184  9 Te 3.60-3.96
K: 0.2507 0.8769 0.1816  9 Te 3.60-3.96
K: 0.5472 0.9057 0.5000  10 Te 3.67-4.08
K: 0.2972 0.4057 0.0000  10 Te 3.67-4.08
Te: 0.4449 0.7117 0.8087  3 Te 2.86-3.18
Te: 0.8435 0.7117 0.1913  3 Te 2.86-3.18
Te: 0.5035 0.2117 0.6913  3 Te 2.86-3.18
Te: 0.2848 0.2117 0.3087  3 Te 2.86-3.18
Te: 0.6964 0.0599 0.1330  2 Te 2.86-3.18
Te: 0.2437 0.0599 0.8670  2 Te 2.86-3.18
Te: 0.0794 0.5599 0.3670  2 Te 2.86-3.18
Te: 0.3607 0.5599 0.6330  2 Te 2.86-3.18
Te: 0.9598 0.0803 0.5000  2 Te 3.09
Te: 0.7098 0.5803 0.0000  2 Te 3.09

Record 3
Density functional theory data (GGA-PBE) for an optimized crystal structure of CaTbTm4Se8.

Output
The spin magnetization comes out at 0.00 μB/cell. For the raw formation energy, the calculation gives -171.7 kJ per mole of atoms. The value obtained for the density is 5998 kg/m³.

Cell: 8.3724 8.3724 8.4001 Å, 60.11 60.11 60.00°
Closest atoms and distances in Å follow each position.
Sites, in units of the cell vectors:
Ca: 0.3743 0.3743 0.8772  4 Se 2.78-2.79
Tb: 0.0021 0.0021 0.9937  6 Se 2.86-2.94
Tm: 0.6253 0.6253 0.1240  4 Se 2.72-2.74
Tm: 0.0020 0.4937 0.5022  6 Se 2.81-2.90
Tm: 0.4937 0.0020 0.5022  6 Se 2.81-2.90
Tm: 0.0020 0.0020 0.5022  6 Se 2.81-2.90
Se: 0.2424 0.7803 0.7348  1 Ca 2.78, 2 Tm 2.81, 1 Tb 2.86
Se: 0.7803 0.2424 0.7348  1 Ca 2.78, 2 Tm 2.81, 1 Tb 2.86
Se: 0.2424 0.2424 0.7348  1 Ca 2.78, 2 Tm 2.81, 1 Tb 2.86
Se: 0.2391 0.2391 0.2828  1 Ca 2.79, 3 Tm 2.81
Se: 0.7550 0.2283 0.2618  3 Tm 2.72-2.89, 1 Tb 2.94
Se: 0.2283 0.7550 0.2618  3 Tm 2.72-2.89, 1 Tb 2.94
Se: 0.7550 0.7550 0.2618  3 Tm 2.72-2.89, 1 Tb 2.94
Se: 0.7580 0.7580 0.7259  4 Tm 2.74-2.90